This record from Alexandria via LeMat-Bulk describes a relaxed structure of LiFeF4. The functional is GGA+U.

```
LiFeF4
1.0
6.440 -1.961 0.000
6.440 1.961 0.000
-2.068 0.000 6.243
Li Fe F
2 2 8
direct
0.192 0.192 0.301
0.808 0.808 0.699
0.109 0.109 0.705
0.891 0.891 0.295
0.053 0.053 0.370
0.142 0.142 0.999
0.250 0.250 0.656
0.384 0.384 0.313
0.616 0.616 0.687
0.750 0.750 0.344
0.858 0.858 0.001
0.947 0.947 0.630
```

## Properties
- E above lowest polymorph (meV per atom) = 21
- DFT total energy (eV per formula unit) = -30.78